Computed, not measured: a relaxed structure of Na2NdCrF8 at the GGA+U level of DFT.

CIF file:
```
data_Na2NdCrF8
_cell_length_a 4.2736
_cell_length_b 5.4582
_cell_length_c 7.1255
_cell_angle_alpha 90.00
_cell_angle_beta 90.00
_cell_angle_gamma 92.61
_space_group_name_H-M_alt 'P 1'
_space_group_IT_number 1
_space_group_name_Hall 'P 1'
loop_
_atom_site_label
_atom_site_fract_x
_atom_site_fract_y
_atom_site_fract_z
F1 0.6361 0.7807 0.0000
F2 0.8919 0.2122 0.7817
F3 0.1081 0.7878 0.7817
F4 0.4564 0.2428 0.5000
F5 0.1081 0.7878 0.2183
F6 0.5436 0.7572 0.5000
F7 0.8919 0.2122 0.2183
F8 0.3639 0.2193 0.0000
Na1 0.5000 0.5000 0.2288
Na2 0.5000 0.5000 0.7712
Nd1 0.0000 0.0000 0.5000
Cr1 0.0000 0.0000 0.0000
```

Values from the calculation:
**Calculated density**: 3942 kg/m3
**Uncorrected energy**: -67.8 eV for the cell shown
**Space-group type**: No. 10